Entry 1:
First-principles (PBE) data for a relaxed Mg4In2Sn crystal, as listed in Alexandria.

Calculated values
D(E_F)	0.41	states/eV per atom
ΔE to the lowest computed polymorph	15	meV per atom
raw total energy	-2.2787	eV/atom
E_form	-0.013	eV/atom

abc: 7.4798 5.8500 8.4693
angles: 90.00 111.34 90.00
With the nearest neighbours (Å) after each atom.
Fractional coordinates of all 14 atoms:
In 0.6172 0.7500 0.5645  5 Mg 3.02-3.14, 2 In 3.38
In 0.3828 0.2500 0.4355  5 Mg 3.02-3.14, 2 In 3.38
In 0.2335 0.2500 0.9985  5 Mg 3.05-3.18, 3 Sn 3.21-3.33
In 0.7665 0.7500 0.0015  5 Mg 3.05-3.18, 3 Sn 3.21-3.33
Mg 0.9667 0.2500 0.2000  2 In 3.02-3.06, 1 Sn 3.04, 3 Mg 3.10-3.15
Mg 0.0333 0.7500 0.8000  2 In 3.02-3.06, 1 Sn 3.04, 3 Mg 3.10-3.15
Mg 0.3876 0.9977 0.7599  3 Mg 2.90-3.15, 4 In 3.05-3.18, 1 Sn 3.12
Mg 0.6124 0.0023 0.2401  3 Mg 2.90-3.15, 4 In 3.05-3.18, 1 Sn 3.12
Mg 0.9709 0.2500 0.5677  1 Sn 2.98, 5 Mg 3.10-3.29
Mg 0.0291 0.7500 0.4323  1 Sn 2.98, 5 Mg 3.10-3.29
Mg 0.3876 0.5023 0.7599  3 Mg 2.90-3.15, 4 In 3.05-3.18, 1 Sn 3.12
Mg 0.6124 0.4977 0.2401  3 Mg 2.90-3.15, 4 In 3.05-3.18, 1 Sn 3.12
Sn 0.2258 0.7500 0.1834  4 Mg 2.98-3.12, 3 In 3.21-3.33
Sn 0.7742 0.2500 0.8166  4 Mg 2.98-3.12, 3 In 3.21-3.33

---

Entry 2:
First-principles (PBE) data for a relaxed Mg15In2Sn2 crystal, as listed in Alexandria.

Calculated values
D(E_F)	0.47	states/eV per atom
raw total energy	-1.9198	eV/atom
E_form	0.049	eV/atom

abc: 7.8924 7.8924 7.8924
angles: 80.36 80.36 80.36
With the nearest neighbours (Å) after each atom.
Fractional coordinates of all 19 atoms:
In 0.3822 0.3822 0.3822  12 Mg 3.46-3.48, 1 In 3.72
In 0.6178 0.6178 0.6178  12 Mg 3.46-3.48, 1 In 3.72
Mg 0.1682 0.6648 0.6648  8 Mg 2.92-3.14, 1 Sn 3.17
Mg 0.6671 0.0000 0.3329  9 Mg 3.13-3.40, 2 In 3.48
Mg 0.6648 0.6648 0.1682  8 Mg 2.92-3.14, 1 Sn 3.17
Mg 0.3352 0.3352 0.8318  8 Mg 2.92-3.14, 1 Sn 3.17
Mg 0.3352 0.8318 0.3352  8 Mg 2.92-3.14, 1 Sn 3.17
Mg 0.3329 0.0000 0.6671  9 Mg 3.13-3.40, 2 In 3.48
Mg 0.6671 0.3329 0.0000  9 Mg 3.13-3.40, 2 In 3.48
Mg 0.0000 0.3329 0.6671  9 Mg 3.13-3.40, 2 In 3.48
Mg 0.0000 0.6671 0.3329  9 Mg 3.13-3.40, 2 In 3.48
Mg 0.5000 0.0000 0.0000  8 Mg 2.95-3.13, 2 Sn 3.15
Mg 0.8318 0.3352 0.3352  8 Mg 2.92-3.14, 1 Sn 3.17
Mg 0.6648 0.1682 0.6648  8 Mg 2.92-3.14, 1 Sn 3.17
Mg 0.3329 0.6671 0.0000  9 Mg 3.13-3.40, 2 In 3.48
Mg 0.0000 0.0000 0.5000  8 Mg 2.95-3.13, 2 Sn 3.15
Mg 0.0000 0.5000 0.0000  8 Mg 2.95-3.13, 2 Sn 3.15
Sn 0.0952 0.0952 0.0952  1 Sn 3.01, 6 Mg 3.15-3.17
Sn 0.9048 0.9048 0.9048  1 Sn 3.01, 6 Mg 3.15-3.17